# 1
DyPuTlHg | PBE-GGA | relaxed

a = 3.6791 Å, b = 3.6791 Å, c = 7.9596 Å
α = 90.00°, β = 90.00°, γ = 90.00°
Fractional coordinates of all 4 atoms:
1 Dy 0.0000 0.0000 0.8468
2 Pu 0.0000 0.0000 0.3637
3 Tl 0.5000 0.5000 0.0961
4 Hg 0.5000 0.5000 0.6213

symmetry: P4mm (99)
distance to the lowest polymorph of the same formula: 0.00 eV/f.u.

# 2
GeTe2RhI | PBE-GGA | relaxed

a = 5.2363 Å, b = 5.2363 Å, c = 5.3483 Å
α = 90.00°, β = 90.00°, γ = 90.00°
Fractional coordinates of all 5 atoms:
1 I 0.0000 0.0000 0.5000
2 Ge 0.5000 0.5000 0.5000
3 Te 0.0000 0.5000 0.0000
4 Te 0.5000 0.0000 0.0000
5 Rh 0.0000 0.0000 0.0000

formation energy from raw total energies: 396 meV/atom
symmetry: P4/mmm (123)
distance to the lowest polymorph of the same formula: 0.00 eV/f.u.

# 3
CuSiCl4 | PBE-GGA | relaxed

a = 5.8012 Å, b = 5.8012 Å, c = 5.8012 Å
α = 60.00°, β = 60.00°, γ = 60.00°
Fractional coordinates of all 6 atoms:
1 Cu 0.7500 0.7500 0.7500
2 Si 0.0000 0.0000 0.0000
3 Cl 0.3756 0.8731 0.3756
4 Cl 0.8731 0.3756 0.3756
5 Cl 0.3756 0.3756 0.8731
6 Cl 0.3756 0.3756 0.3756

formation energy from raw total energies: 953 meV/atom
symmetry: F-43m (216)
distance to the lowest polymorph of the same formula: 9.19 eV/f.u.

# 4
MgMn2Br | PBE-GGA | relaxed

a = 3.1879 Å, b = 3.1879 Å, c = 8.7359 Å
α = 90.00°, β = 90.00°, γ = 114.76°
Fractional coordinates of all 4 atoms:
1 Br 0.5000 0.5000 0.2500
2 Mg 0.5000 0.5000 0.7500
3 Mn 0.0000 0.0000 0.0067
4 Mn 0.0000 0.0000 0.4933

formation energy from raw total energies: 388 meV/atom
symmetry: Cmmm (65)
distance to the lowest polymorph of the same formula: 0.66 eV/f.u.

# 5
K2ZrRe | PBE-GGA | relaxed

a = 4.8575 Å, b = 7.0479 Å, c = 3.1865 Å
α = 78.53°, β = 85.46°, γ = 109.07°
Fractional coordinates of all 4 atoms:
1 K 0.0000 0.0000 0.0000
2 K 0.5000 0.0000 0.5000
3 Re 0.0000 0.5000 0.5000
4 Zr 0.5000 0.5000 0.0000

symmetry: C2/m (12)
distance to the lowest polymorph of the same formula: 2.16 eV/f.u.

# 6
SrCe2Pm | PBE-GGA | relaxed

a = 3.5486 Å, b = 3.5486 Å, c = 13.0739 Å
α = 82.20°, β = 82.20°, γ = 60.00°
Fractional coordinates of all 4 atoms:
1 Sr 0.0000 0.0000 0.0000
2 Ce 0.0905 0.0905 0.7286
3 Ce 0.9095 0.9095 0.2714
4 Pm 0.5000 0.5000 0.5000

symmetry: R-3m (166)

# 7
AsICl2 | PBE-GGA | relaxed

a = 3.8098 Å, b = 7.2051 Å, c = 11.9153 Å
α = 90.00°, β = 90.00°, γ = 105.33°
Fractional coordinates of all 8 atoms:
1 As 0.8840 0.7681 0.2500
2 As 0.1160 0.2319 0.7500
3 I 0.0671 0.1342 0.2500
4 I 0.9329 0.8658 0.7500
5 Cl 0.6356 0.2712 0.8943
6 Cl 0.3644 0.7288 0.1057
7 Cl 0.3644 0.7288 0.3943
8 Cl 0.6356 0.2712 0.6057

formation energy from raw total energies: -412 meV/atom
symmetry: Cmcm (63)
distance to the lowest polymorph of the same formula: 0.41 eV/f.u.

# 8
ZnNiIr3 | PBE-GGA | relaxed

a = 4.4745 Å, b = 4.4745 Å, c = 4.4745 Å
α = 90.00°, β = 90.00°, γ = 90.00°
Fractional coordinates of all 5 atoms:
1 Ni 0.0000 0.0000 0.0000
2 Zn 0.5000 0.5000 0.5000
3 Ir 0.0000 0.5000 0.0000
4 Ir 0.0000 0.0000 0.5000
5 Ir 0.5000 0.0000 0.0000

symmetry: Pm-3m (221)
distance to the lowest polymorph of the same formula: 0.00 eV/f.u.

In the order shown, the computed total energy values come out to -5.6258; -3.5642; -1.8645; -5.0136; -4.6112; -4.2493; -2.8855; -5.2898 eV/atom.